(1)
Here is Pr2Mg12Ag5 after structural relaxation from the Alexandria database. Energies are from GGA-PBE.

Cell: 9.9783 9.9783 14.7570 Å, 90.00 90.00 120.00°
Space group R-3m (No. 166, hexagonal axes)
Symmetry-distinct sites (fractional):
Pr 0.0000 0.0000 0.1631 [6 per cell]
Mg 0.0000 0.2932 0.5000 [18 per cell]
Mg 0.0140 0.5070 0.3487 [18 per cell]
Ag 0.0000 0.0000 0.4004 [6 per cell]
Ag 0.0000 0.5000 0.0000 [9 per cell]

Calculated values
* formation enthalpy at 0 K: -0.156 eV/atom

(2)
Here is Pr3Mg2Ag3 after structural relaxation from the Alexandria database. Energies are from GGA-PBE.

Cell: 8.9165 8.9165 6.0045 Å, 90.00 90.00 120.00°
Space group P6_3/mcm (No. 193)
Symmetry-distinct sites (fractional):
Pr 0.0000 0.2543 0.2500 [6 per cell]
Mg 0.3333 0.6667 0.0000 [4 per cell]
Ag 0.0000 0.4042 0.7500 [6 per cell]

Calculated values
* excess energy over the best structure of this formula in the dataset: 0.00 kcal/mol of atoms
* formation enthalpy at 0 K: -0.240 eV/atom

(3)
Here is PrMg2Ag after structural relaxation from the Alexandria database. Energies are from GGA-PBE.

Cell: 7.2737 7.2737 7.2737 Å, 90.00 90.00 90.00°
Space group F-43m (No. 216)
Symmetry-distinct sites (fractional):
Pr 0.0000 0.0000 0.0000 [4 per cell]
Mg 0.0000 0.0000 0.5000 [4 per cell]
Mg 0.2500 0.2500 0.7500 [4 per cell]
Ag 0.2500 0.2500 0.2500 [4 per cell]

Calculated values
* formation enthalpy at 0 K: -0.197 eV/atom

(4)
Here is PrMg8Ag4 after structural relaxation from the Alexandria database. Energies are from GGA-PBE.

Cell: 9.8994 9.8994 5.6684 Å, 90.00 90.00 90.00°
Space group I4/mmm (No. 139)
Symmetry-distinct sites (fractional):
Pr 0.0000 0.0000 0.0000 [2 per cell]
Mg 0.0000 0.2152 0.5000 [8 per cell]
Mg 0.0000 0.3437 0.0000 [8 per cell]
Ag 0.2500 0.2500 0.2500 [8 per cell]

Calculated values
* formation enthalpy at 0 K: -0.200 eV/atom

(5)
Here is Pr2Mg3Ag3 after structural relaxation from the Alexandria database. Energies are from GGA-PBE.

Cell: 8.6010 8.6010 6.4638 Å, 90.00 90.00 120.00°
Space group P6_3/mcm (No. 193)
Symmetry-distinct sites (fractional):
Pr 0.3333 0.6667 0.0000 [4 per cell]
Mg 0.0000 0.2689 0.2500 [6 per cell]
Ag 0.0000 0.3611 0.7500 [6 per cell]

Calculated values
* formation enthalpy at 0 K: -0.109 eV/atom

(6)
Here is PrMg4Ag after structural relaxation from the Alexandria database. Energies are from GGA-PBE.

Cell: 8.7045 4.4010 7.6804 Å, 90.00 90.00 90.00°
Space group Pmma (No. 51)
Symmetry-distinct sites (fractional):
Pr 0.2500 0.0000 0.1115 [2 per cell]
Mg 0.0000 0.0000 0.5000 [2 per cell]
Mg 0.0566 0.5000 0.8072 [4 per cell]
Mg 0.2500 0.5000 0.4464 [2 per cell]
Ag 0.2500 0.0000 0.7050 [2 per cell]

Calculated values
* excess energy over the best structure of this formula in the dataset: 0.00 kcal/mol of atoms
* formation enthalpy at 0 K: -0.160 eV/atom

Number 1: calculated density 4.36 g/cm³. Number 2: calculated density 6.39 g/cm³. Number 3: calculated density 5.13 g/cm³. Number 4: calculated density 4.58 g/cm³. Number 5: calculated density 5.44 g/cm³. Number 6: calculated density 3.91 g/cm³.